EuTlPdRh, optimized geometry, DFT PBE-GGA; energy of formation from the pure elements = -0.332 eV/atom
1.0
0.000 3.438 3.438
3.438 0.000 3.438
3.438 3.438 0.000
Eu Tl Pd Rh
1 1 1 1
Direct
0.000 0.000 0.000
0.500 0.500 0.500
0.750 0.750 0.750
0.250 0.250 0.250

EuYPdRh, optimized geometry, DFT PBE-GGA; energy of formation from the pure elements = -0.657 eV/atom
1.0
0.000 3.518 3.518
3.518 0.000 3.518
3.518 3.518 0.000
Eu Y Pd Rh
1 1 1 1
Direct
0.000 0.000 0.000
0.500 0.500 0.500
0.750 0.750 0.750
0.250 0.250 0.250

EuPdS, optimized geometry, DFT PBE-GGA; formation energy from raw total energies = -3.71 eV/f.u.
1.0
4.273 0.000 0.000
-2.136 3.700 0.000
0.000 0.000 3.921
Eu Pd S
1 1 1
Direct
0.000 0.000 0.000
0.667 0.333 0.500
0.333 0.667 0.500

EuPdS2, optimized geometry, DFT PBE-GGA; formation energy from raw total energies = -1.54 eV/f.u.
1.0
1.876 1.083 7.991
-1.876 1.083 7.991
0.000 -2.166 7.991
Eu Pd S
1 1 2
Direct
0.000 0.000 0.000
0.500 0.500 0.500
0.117 0.117 0.117
0.883 0.883 0.883

no.,density of states at the Fermi level (states/eV per atom),magnetic moment (μB per cell)
1,2.712,6.875
2,3.226,6.857
3,3.441,6.987
4,0.753,7.694